1:
A relaxed structure of Tb5ZnGa2, computed with GGA-PBE.

Cell lengths 7.531, 7.531, 9.107 Å; angles 114.42, 114.42, 90.00 degrees
Element x y z (fractional)
Zn: 0.750 0.750 0.500
Tb: 0.000 0.000 0.000
Tb: 0.820 0.975 0.295
Tb: 0.500 0.500 0.000
Tb: 0.525 0.680 0.705
Ga: 0.120 0.380 0.000
Tb: 0.680 0.180 0.705
Tb: 0.025 0.525 0.705
Tb: 0.975 0.475 0.295
Tb: 0.320 0.820 0.295
Ga: 0.880 0.620 0.000
Ga: 0.380 0.880 0.000
Tb: 0.180 0.025 0.705
Tb: 0.475 0.320 0.295
Ga: 0.620 0.120 0.000
Zn: 0.250 0.250 0.500

Output
The density of states at the Fermi level comes out at 0.79 states/eV/atom. The crystal system is tetragonal. The symmetry is I4/mcm, No. 140.

---

2:
A relaxed structure of Tb5ZnGa2, computed with GGA-PBE.

Cell lengths 5.006, 5.009, 19.995 Å; angles 90.00, 90.00, 119.98 degrees
Element x y z (fractional)
Tb: 0.332 0.665 0.750
Tb: 0.334 0.667 0.054
Ga: 0.333 0.666 0.902
Ga: 0.333 0.666 0.598
Zn: 0.666 0.331 0.750
Tb: 0.000 0.001 0.344
Tb: 0.668 0.335 0.250
Tb: 0.334 0.667 0.446
Tb: 0.000 0.999 0.844
Tb: 0.666 0.333 0.554
Zn: 0.334 0.669 0.250
Tb: 0.000 0.001 0.156
Tb: 0.666 0.333 0.946
Ga: 0.667 0.334 0.402
Ga: 0.667 0.334 0.098
Tb: 0.000 0.999 0.656

Output
The density of states at the Fermi level comes out at 1.37 states/eV/atom. The crystal system is orthorhombic. The symmetry is Cmcm, No. 63.

---

It is 2 that is the least stable of them.